No. 1
VASP calculation (GGA-PBE) on a relaxed structure of HfAgGeF2.

Summary:
Crystal system ... tetragonal
Raw total energy ... -4.668 eV/atom
Formation energy (no corrections) ... -435 meV/atom
Magnetization ... 0.00 Bohr magnetons per cell
Density of states at the Fermi level ... 0.568 states/eV/atom

Cell: 4.1227 5.5666 4.1227 Å, 90.00 90.00 90.00°
Fractional positions:
F (0.0000, 0.0000, 0.5000)
Hf (0.5000, 0.5000, 0.5000)
F (0.5000, 0.0000, 0.0000)
Ag (0.0000, 0.0000, 0.0000)
Ge (0.0000, 0.5000, 0.0000)

---

No. 2
VASP calculation (GGA-PBE) on a relaxed structure of BaMgV2C.

Summary:
Crystal system ... tetragonal
Raw total energy ... -3.637 eV/atom
Magnetization ... 6.53 Bohr magnetons per cell
Density of states at the Fermi level ... 1.336 states/eV/atom

Cell: 5.4287 4.6591 5.4287 Å, 90.00 90.00 90.00°
Last column: magnetic moment on the atom in μB.
Fractional positions:
Ba (0.0000, 0.0000, 0.0000)  0.23
V (0.5000, 0.0000, 0.0000)  2.92
C (0.0000, 0.5000, 0.0000)  -0.36
V (0.0000, 0.0000, 0.5000)  2.81
Mg (0.5000, 0.5000, 0.5000)  -0.02

---

No. 3
VASP calculation (GGA-PBE) on a relaxed structure of AlRhBr4.

Summary:
Crystal system ... cubic
Raw total energy ... -1.986 eV/atom
Formation energy (no corrections) ... 978 meV/atom
Magnetization ... 1.16 Bohr magnetons per cell
Density of states at the Fermi level ... 1.272 states/eV/atom

Cell: 6.2715 6.2715 6.2715 Å, 60.00 60.00 60.00°
Last column: magnetic moment on the atom in μB.
Fractional positions:
Al (0.0000, 0.0000, 0.0000)  0.00
Br (0.3755, 0.8736, 0.3755)  -0.09
Br (0.8736, 0.3755, 0.3755)  -0.09
Br (0.3755, 0.3755, 0.8736)  -0.09
Rh (0.7500, 0.7500, 0.7500)  1.50
Br (0.3755, 0.3755, 0.3755)  -0.09

---

No. 4
VASP calculation (GGA-PBE) on a relaxed structure of ZnCd2As.

Summary:
Crystal system ... monoclinic
Raw total energy ... -1.804 eV/atom
Distance to the lowest polymorph of the same formula ... 0.051 eV/atom
Magnetization ... 0.00 Bohr magnetons per cell
Density of states at the Fermi level ... 0.306 states/eV/atom

Cell: 5.4698 3.0962 4.9443 Å, 94.27 90.00 90.00°
Fractional positions:
Cd (0.0000, 0.5041, 0.4984)
Zn (0.5000, 0.2500, 0.2500)
Cd (0.0000, 0.9959, 0.0016)
As (0.5000, 0.7500, 0.7500)